1.
A relaxed structure of KAlAgCl6, computed with PBE-GGA.

## Properties
E_form (uncorrected): -1.218 eV/atom
Space-group type: P1 (1)
DOS(E_F): 0.171 states/eV per atom
Calculated total energy: -3.303 eV per atom

Cell lengths 6.4525, 6.4556, 6.8519 Å; angles 91.84, 91.92, 115.54 degrees
Positions (direct):
K (0.0000, 0.0000, 0.0000)
Al (0.6637, 0.3362, 0.4996)
Ag (0.3221, 0.6784, 0.4999)
Cl (0.3699, 0.0462, 0.6776)
Cl (0.3838, 0.3841, 0.2923)
Cl (0.6166, 0.6158, 0.7074)
Cl (0.6499, 0.0598, 0.2818)
Cl (0.9406, 0.3488, 0.7167)
Cl (0.9537, 0.6301, 0.3218)

---

2.
A relaxed structure of K2AlAgCl6, computed with PBE-GGA.

## Properties
Excess energy over the best structure of this formula in the dataset: 11 meV/atom
E_form (uncorrected): -1.471 eV/atom
Space-group type: Fm-3m (225)
DOS(E_F): 0.000 states/eV per atom
Calculated total energy: -3.458 eV per atom

Cell lengths 7.1696, 7.1696, 7.1696 Å; angles 60.00, 60.00, 60.00 degrees
Positions (direct):
K (0.2500, 0.2500, 0.2500)
K (0.7500, 0.7500, 0.7500)
Al (0.0000, 0.0000, 0.0000)
Ag (0.5000, 0.5000, 0.5000)
Cl (0.2315, 0.2315, 0.7685)
Cl (0.2315, 0.7685, 0.2315)
Cl (0.2315, 0.7685, 0.7685)
Cl (0.7685, 0.2315, 0.2315)
Cl (0.7685, 0.2315, 0.7685)
Cl (0.7685, 0.7685, 0.2315)

---

3.
A relaxed structure of LiAl2AgCl8, computed with PBE-GGA.

## Properties
E_form (uncorrected): -1.346 eV/atom
Space-group type: P-3m1 (164)
DOS(E_F): 0.000 states/eV per atom
Calculated total energy: -3.598 eV per atom

Cell lengths 7.1415, 7.1415, 7.5734 Å; angles 90.00, 90.00, 120.00 degrees
Positions (direct):
Li (0.0000, 0.0000, 0.0000)
Al (0.3333, 0.6667, 0.8440)
Al (0.6667, 0.3333, 0.1560)
Ag (0.0000, 0.0000, 0.5000)
Cl (0.1660, 0.3321, 0.7502)
Cl (0.1660, 0.8340, 0.7502)
Cl (0.3321, 0.1660, 0.2498)
Cl (0.3333, 0.6667, 0.1221)
Cl (0.6667, 0.3333, 0.8779)
Cl (0.6679, 0.8340, 0.7502)
Cl (0.8340, 0.1660, 0.2498)
Cl (0.8340, 0.6679, 0.2498)

---

4.
A relaxed structure of MgAlAgCl6, computed with PBE-GGA.

## Properties
E_form (uncorrected): -1.365 eV/atom
Space-group type: P-31c (163)
DOS(E_F): 0.000 states/eV per atom
Calculated total energy: -3.506 eV per atom

Cell lengths 6.2932, 6.2932, 12.0808 Å; angles 90.00, 90.00, 120.00 degrees
Positions (direct):
Mg (0.3333, 0.6667, 0.2500)
Mg (0.6667, 0.3333, 0.7500)
Al (0.3333, 0.6667, 0.7500)
Al (0.6667, 0.3333, 0.2500)
Ag (0.0000, 0.0000, 0.0000)
Ag (0.0000, 0.0000, 0.5000)
Cl (0.0194, 0.3712, 0.6377)
Cl (0.0194, 0.6482, 0.8623)
Cl (0.3518, 0.3712, 0.8623)
Cl (0.3518, 0.9806, 0.6377)
Cl (0.3712, 0.0194, 0.1377)
Cl (0.3712, 0.3518, 0.3623)
Cl (0.6288, 0.6482, 0.6377)
Cl (0.6288, 0.9806, 0.8623)
Cl (0.6482, 0.0194, 0.3623)
Cl (0.6482, 0.6288, 0.1377)
Cl (0.9806, 0.3518, 0.1377)
Cl (0.9806, 0.6288, 0.3623)

---

5.
A relaxed structure of Mg2AlAgCl, computed with PBE-GGA.

## Properties
E_form (uncorrected): 0.288 eV/atom
Space-group type: P4/mmm (123)
DOS(E_F): 0.405 states/eV per atom
Calculated total energy: -2.038 eV per atom

Cell lengths 4.8669, 4.8669, 5.0882 Å; angles 90.00, 90.00, 90.00 degrees
Positions (direct):
Mg (0.0000, 0.5000, 0.0000)
Mg (0.5000, 0.0000, 0.0000)
Al (0.0000, 0.0000, 0.5000)
Ag (0.5000, 0.5000, 0.5000)
Cl (0.5000, 0.5000, 0.0000)

---

6.
A relaxed structure of Al2AgMoCl, computed with PBE-GGA.

## Properties
E_form (uncorrected): 0.990 eV/atom
Space-group type: P4/mmm (123)
DOS(E_F): 0.612 states/eV per atom
Calculated total energy: -3.613 eV per atom

Cell lengths 4.7573, 4.7573, 4.4073 Å; angles 90.00, 90.00, 90.00 degrees
Positions (direct):
Al (0.0000, 0.5000, 0.0000)
Al (0.5000, 0.0000, 0.0000)
Ag (0.0000, 0.0000, 0.5000)
Mo (0.5000, 0.5000, 0.5000)
Cl (0.5000, 0.5000, 0.0000)